# 1
Li15Cr2N9 at its PBEsol-relaxed geometry, computed with meta-GGA SCAN.

Computed properties:
- E_form (uncorrected) (eV per atom) = -0.80
- DFT total energy (eV/atom) = -6.81

a b c (Å): 9.2535 10.0842 10.0895
angles (deg): 90.00 90.00 90.00
Element x y z (fractional)
Li 0.2429 0.7208 0.4107
N 0.3750 0.7887 0.9182
N 0.3877 0.7212 0.5882
N 0.3934 0.0818 0.5664
Li 0.7427 0.9124 0.2155
Li 0.0149 0.2325 0.5812
Li 0.4849 0.7654 0.4044
N 0.6123 0.2212 0.4118
Li 0.2872 0.5953 0.9373
N 0.1066 0.5818 0.0664
N 0.1116 0.9122 0.7218
N 0.8750 0.7887 0.5818
Li 0.2677 0.4374 0.4007
Li 0.2571 0.2208 0.9107
Li 0.2431 0.5901 0.2198
Li 0.4981 0.9006 0.6009
Li 0.9851 0.7325 0.4188
Li 0.2398 0.3971 0.0735
Li 0.4855 0.5936 0.2599
Li 0.7800 0.0710 0.4019
N 0.3884 0.4122 0.2218
Li 0.7571 0.2208 0.5893
Li 0.9829 0.9170 0.2736
N 0.1426 0.2521 0.7475
Li 0.7568 0.2848 0.9127
Li 0.2602 0.8971 0.5735
Li 0.7488 0.7508 0.7428
N 0.8934 0.0818 0.9336
Li 0.5171 0.4170 0.7736
Li 0.2569 0.0901 0.7198
Li 0.7512 0.2508 0.2428
N 0.3749 0.0821 0.2892
Cr 0.9958 0.9219 0.5810
N 0.3969 0.4398 0.5805
Li 0.5151 0.2654 0.5956
Li 0.0151 0.2654 0.9044
Li 0.4851 0.7325 0.0812
Li 0.7432 0.7848 0.4127
Li 0.2800 0.0710 0.0981
N 0.6031 0.9398 0.4195
Li 0.7128 0.0953 0.0627
Li 0.0019 0.4006 0.1009
Li 0.7602 0.8971 0.9265
Li 0.7573 0.4124 0.7155
Li 0.2427 0.9124 0.2845
Cr 0.5041 0.5814 0.5781
Cr 0.0042 0.4219 0.4190
N 0.6116 0.9122 0.7782
N 0.8916 0.0642 0.5897
Li 0.9849 0.7654 0.0956
Cr 0.5042 0.4219 0.0810
Li 0.7872 0.5953 0.5627
N 0.8877 0.7212 0.9118
N 0.6251 0.5821 0.7108
N 0.8574 0.7521 0.2525
N 0.1031 0.9398 0.0805
Li 0.7323 0.9374 0.5993
N 0.8944 0.4095 0.5576
Li 0.2323 0.9374 0.9007
Li 0.7431 0.5901 0.2802
Li 0.2573 0.4124 0.7845
Li 0.2128 0.0953 0.4373
N 0.6084 0.5642 0.0897
Cr 0.4958 0.9219 0.9190
N 0.6426 0.2521 0.7525
N 0.6066 0.5818 0.4336
Li 0.7569 0.0901 0.7802
Li 0.9855 0.5936 0.2401
N 0.8749 0.0821 0.2108
N 0.1056 0.9095 0.4424
Li 0.0145 0.0936 0.7599
Li 0.7200 0.5710 0.9019
Li 0.2512 0.2508 0.2572
N 0.3574 0.7521 0.2475
Li 0.5003 0.2294 0.2293
N 0.1250 0.2887 0.4182
N 0.1084 0.5642 0.4103
Li 0.7398 0.3971 0.4265
Li 0.4829 0.9170 0.2264
Li 0.5145 0.0936 0.7401
N 0.8884 0.4122 0.2782
N 0.6056 0.9095 0.0576
N 0.8969 0.4398 0.9195
Li 0.2432 0.7848 0.0873
Li 0.0003 0.2294 0.2707
Cr 0.9959 0.0814 0.0781
N 0.3944 0.4095 0.9424
Li 0.5149 0.2325 0.9188
Li 0.0171 0.4170 0.7264
Li 0.2568 0.2848 0.5873
N 0.1123 0.2212 0.0882
Li 0.9997 0.7294 0.7293
Li 0.9981 0.9006 0.8991
Li 0.2488 0.7508 0.7572
Li 0.7429 0.7208 0.0893
N 0.1251 0.5821 0.7892
Li 0.2200 0.5710 0.5981
Li 0.4997 0.7294 0.7707
Cr 0.4959 0.0814 0.4219
N 0.6250 0.2887 0.0818
Li 0.7677 0.4374 0.0993
Cr 0.0041 0.5814 0.9219
N 0.3916 0.0642 0.9103
Li 0.5019 0.4006 0.3991

---

# 2
PSe3Cl at its PBEsol-relaxed geometry, computed with meta-GGA SCAN.

Computed properties:
- E_form (uncorrected) (eV per atom) = 1.38
- DFT total energy (eV/atom) = -14.35

a b c (Å): 4.8154 4.8154 4.8154
angles (deg): 90.00 90.00 90.00
Element x y z (fractional)
Se 0.0000 0.5000 0.0000
Cl 0.0000 0.0000 0.0000
Se 0.5000 0.0000 0.0000
Se 0.0000 0.0000 0.5000
P 0.5000 0.5000 0.5000

---

# 3
MgAgRu2 at its PBEsol-relaxed geometry, computed with meta-GGA SCAN.

Computed properties:
- energy of formation (eV per atom) = 0.329
- DFT total energy (eV/atom) = -26.17

a b c (Å): 2.8600 4.4564 5.3821
angles (deg): 114.46 105.41 90.00
Element x y z (fractional)
Ru 0.2528 0.2528 0.5055
Mg 0.0000 0.5000 0.0000
Ru 0.7472 0.7472 0.4945
Ag 0.5000 0.0000 0.0000

---

# 4
Mn2SeCl at its PBEsol-relaxed geometry, computed with meta-GGA SCAN.

Computed properties:
- energy above the most stable polymorph in this dataset (eV per atom) = 0.042
- E_form (uncorrected) (eV per atom) = -0.46
- DFT total energy (eV/atom) = -16.60

a b c (Å): 4.5830 4.5830 4.5830
angles (deg): 60.00 60.00 60.00
Element x y z (fractional)
Cl 0.5000 0.5000 0.5000
Mn 0.2500 0.2500 0.2500
Se 0.0000 0.0000 0.0000
Mn 0.7500 0.7500 0.7500

---

# 5
AsSe2Cl at its PBEsol-relaxed geometry, computed with meta-GGA SCAN.

Computed properties:
- energy above the most stable polymorph in this dataset (eV per atom) = 0.574
- E_form (uncorrected) (eV per atom) = 0.65
- DFT total energy (eV/atom) = -16.44

a b c (Å): 3.4425 4.7084 4.7084
angles (deg): 90.00 90.00 90.00
Element x y z (fractional)
Cl 0.5000 0.0000 0.0000
Se 0.0000 0.0000 0.5000
Se 0.0000 0.5000 0.0000
As 0.5000 0.5000 0.5000

---

# 6
NaLiZnP2O7 at its PBEsol-relaxed geometry, computed with meta-GGA SCAN.

Computed properties:
- E_form (uncorrected) (eV per atom) = -2.41
- DFT total energy (eV/atom) = -9.46

a b c (Å): 6.2557 7.2966 7.2966
angles (deg): 117.01 90.00 90.00
Element x y z (fractional)
Zn 0.7500 0.2165 0.7835
O 0.4970 0.3449 0.7366
P 0.9944 0.1882 0.4206
O 0.5000 0.5946 0.5946
O 0.7097 0.6767 0.9230
O 0.5030 0.7366 0.3449
O 0.7982 0.3170 0.0770
Li 0.7500 0.7864 0.2136
Zn 0.2500 0.7835 0.2165
O 0.2018 0.0770 0.3170
Na 0.5000 0.2523 0.2523
O 0.2982 0.6830 0.9230
P 0.0056 0.4206 0.1882
O 0.7018 0.9230 0.6830
P 0.5056 0.5794 0.8118
P 0.4944 0.8118 0.5794
O 0.9970 0.6551 0.2634
O 0.0030 0.2634 0.6551
Li 0.2500 0.2136 0.7864
O 0.7903 0.0770 0.3233
O 0.2097 0.3233 0.0770
O 0.0000 0.4054 0.4054
O 0.2903 0.9230 0.6767
Na 0.0000 0.7477 0.7477

---

# 7
OsRu2Cl at its PBEsol-relaxed geometry, computed with meta-GGA SCAN.

Computed properties:
- energy above the most stable polymorph in this dataset (eV per atom) = 0.540
- E_form (uncorrected) (eV per atom) = 1.05
- DFT total energy (eV/atom) = -36.33

a b c (Å): 2.8099 4.4311 5.0780
angles (deg): 115.87 106.06 90.00
Element x y z (fractional)
Ru 0.7705 0.7705 0.5411
Cl 0.5000 0.0000 0.0000
Os 0.0000 0.5000 0.0000
Ru 0.2295 0.2295 0.4589

---

# 8
SnHBr2 at its PBEsol-relaxed geometry, computed with meta-GGA SCAN.

Computed properties:
- DFT total energy (eV/atom) = -19.41

a b c (Å): 6.1949 6.1949 6.1949
angles (deg): 110.53 108.94 108.94
Element x y z (fractional)
Sn 0.5000 0.7500 0.2500
H 0.0000 0.5000 0.5000
H 0.5000 0.2500 0.7500
Sn 0.0000 0.0000 0.0000
Br 0.4554 0.8750 0.8304
Br 0.5446 0.3750 0.4196
Br 0.0446 0.1696 0.6250
Br 0.9554 0.5804 0.1250

---

Calculated M_tot, 0.43 0.00 0.00 9.00 0.51 0.00 0.00 2.00 Bohr magnetons per cell (same order as the records).